<A>
First-principles (PBE) data for NaCd4Ge2 after structural relaxation, as listed in Alexandria via LeMat-Bulk.

Lattice parameters (Å, degrees): 4.428 8.714 8.714 90.00 90.00 90.00
Sites, in units of the cell vectors:
Cd  0.000  0.933  0.684
Cd  0.000  0.067  0.316
Na  0.500  0.000  0.000
Ge  0.500  0.733  0.733
Ge  0.000  0.233  0.767
Na  0.000  0.500  0.500
Cd  0.000  0.684  0.933
Cd  0.500  0.816  0.433
Cd  0.500  0.567  0.184
Cd  0.000  0.316  0.067
Cd  0.500  0.433  0.816
Ge  0.000  0.767  0.233
Ge  0.500  0.267  0.267
Cd  0.500  0.184  0.567

- calculated volume (A^3/atom) = 24.0

***

<B>
First-principles (PBE) data for NaCd4Ge2 after structural relaxation, as listed in Alexandria via LeMat-Bulk.

Lattice parameters (Å, degrees): 4.489 4.517 8.336 105.72 90.00 90.00
Sites, in units of the cell vectors:
Cd  0.000  0.317  0.633
Cd  0.500  0.177  0.354
Na  0.000  0.000  0.000
Ge  0.500  0.422  0.844
Cd  0.500  0.823  0.646
Ge  0.500  0.578  0.156
Cd  0.000  0.683  0.367

- calculated volume (A^3/atom) = 23.2

***

Stability summary: most stable <B>, least stable <A>.

***

<A>
First-principles (PBE) data for NbCd3Ge after structural relaxation, as listed in Alexandria via LeMat-Bulk.

Lattice parameters (Å, degrees): 5.107 5.107 5.107 90.00 90.00 90.00
Sites, in units of the cell vectors:
Cd  0.000  0.500  0.000
Ge  0.000  0.000  0.000
Cd  0.000  0.000  0.500
Nb  0.500  0.500  0.500
Cd  0.500  0.000  0.000

- calculated volume (A^3/atom) = 26.6

***

<B>
First-principles (PBE) data for NbCd3Ge after structural relaxation, as listed in Alexandria via LeMat-Bulk.

Lattice parameters (Å, degrees): 5.372 5.372 5.372 90.00 90.00 90.00
Sites, in units of the cell vectors:
Cd  0.000  0.500  0.000
Nb  0.000  0.000  0.000
Cd  0.000  0.000  0.500
Ge  0.500  0.500  0.500
Cd  0.500  0.000  0.000

- calculated volume (A^3/atom) = 31.0

***

Stability summary: most stable <A>, least stable <B>.